No. 1
Here is a geometry-optimized AcScIn4 structure from Alexandria. Energies are from PBE.

Results
As for the total energy: -3.814 eV per atom. Its space-group type is No. 216.

Geometry as POSCAR:
```
AcScIn4
1.0
0.000 4.329 4.329
4.329 0.000 4.329
4.329 4.329 0.000
Ac Sc In
1 1 4
Cartesian
0.000 0.000 0.000
2.165 2.165 2.165
5.408 3.250 3.250
3.250 5.408 3.250
3.250 3.250 5.408
5.408 5.408 5.408
```



No. 2
Here is a geometry-optimized Pm2SmHoAs4 structure from Alexandria. Energies are from PBE.

Results
As for the total energy: -6.198 eV per atom. Its space-group type is No. 10.

Geometry as POSCAR:
```
Pm2SmHoAs4
1.0
7.269 0.000 0.000
0.000 4.202 0.000
-2.424 0.000 6.855
Pm Sm Ho As
2 1 1 4
Cartesian
0.000 0.000 0.000
-1.212 2.101 3.428
2.423 0.000 3.428
3.635 2.101 0.000
1.244 2.101 1.701
0.031 0.000 5.177
4.814 0.000 1.679
3.602 2.101 5.155
```



No. 3
Here is a geometry-optimized Pm6SmDy2Er structure from Alexandria. Energies are from PBE.

Results
As for the total energy: -4.583 eV per atom. Its space-group type is No. 15.

Geometry as POSCAR:
```
Pm6SmDy2Er
1.0
4.619 -7.633 0.000
4.619 7.633 0.000
-1.213 0.000 9.559
Pm Sm Dy Er
12 2 4 2
Cartesian
2.432 4.227 1.784
3.380 4.883 5.305
4.038 4.883 9.033
3.243 1.666 3.649
6.199 4.227 2.995
5.388 1.666 1.131
2.637 -1.666 8.428
1.825 -4.227 6.563
4.781 -1.666 5.910
3.986 -4.883 0.525
4.645 -4.883 4.254
5.593 -4.227 7.774
4.315 7.226 2.390
3.709 -7.226 7.169
2.267 0.759 0.442
1.660 -0.759 5.221
6.364 0.759 4.337
5.758 -0.759 9.116
3.709 1.363 7.169
4.315 -1.363 2.390
```